[1]
This record from Alexandria via LeMat-Bulk describes a relaxed structure of ScInICl2. The functional is PBE.

Lattice parameters (Å, degrees): 5.073 5.073 6.010 90.00 90.00 90.00
Space group P4/mmm (No. 123)
Unique sites:
Sc1 0.000 0.000 0.000 [1 per cell]
In1 0.500 0.500 0.500 [1 per cell]
I1 0.000 0.000 0.500 [1 per cell]
Cl1 0.000 0.500 0.000 [2 per cell]

Values from the calculation:
DFT total energy: -4.034 eV/atom
ρ: 3.839 Mg/m³
magnetic moment: 1.0 μB/f.u.

=====

[2]
This record from Alexandria via LeMat-Bulk describes a relaxed structure of SrInI2Cl. The functional is PBE.

Lattice parameters (Å, degrees): 9.424 4.682 10.190 90.00 104.82 90.00
Space group P2_1/m (No. 11)
Unique sites:
Sr1 0.190 0.250 0.182 [2 per cell]
In1 0.292 0.250 0.678 [2 per cell]
I1 0.135 0.750 0.390 [2 per cell]
I2 0.181 0.750 0.946 [2 per cell]
Cl1 0.496 0.250 0.275 [2 per cell]

Values from the calculation:
DFT total energy: -3.233 eV/atom
ρ: 3.757 Mg/m³
magnetic moment: 0.0 μB/f.u.